LiSnGeIr, optimized geometry, DFT PBE-GGA; space group = F-43m (216); offset from the most stable computed form = 0.337 eV/atom; VASP energy = -4.774 eV per atom
1.0
6.4556 0.0000 0.0000
0.0000 6.4556 0.0000
0.0000 0.0000 6.4556
Li Sn Ge Ir
4 4 4 4
Direct
0.0000 0.0000 0.0000 Li
0.0000 0.5000 0.5000 Li
0.5000 0.0000 0.5000 Li
0.5000 0.5000 0.0000 Li
0.2500 0.2500 0.2500 Sn
0.2500 0.7500 0.7500 Sn
0.7500 0.2500 0.7500 Sn
0.7500 0.7500 0.2500 Sn
0.0000 0.0000 0.5000 Ge
0.0000 0.5000 0.0000 Ge
0.5000 0.0000 0.0000 Ge
0.5000 0.5000 0.5000 Ge
0.2500 0.2500 0.7500 Ir
0.2500 0.7500 0.2500 Ir
0.7500 0.2500 0.2500 Ir
0.7500 0.7500 0.7500 Ir